(1)
SrCuAg2Ge after structural relaxation. Source: the Alexandria database, functional GGA-PBE.

Output
- crystal system = tetragonal
- formation enthalpy at 0 K (meV per atom) = 374

Cell: 4.9211 4.9211 5.9680 Å, 90.00 90.00 90.00°
Positions (direct):
Sr: 0.0000 0.0000 0.0000
Cu: 0.5000 0.5000 0.0000
Ag: 0.0000 0.5000 0.5000
Ag: 0.5000 0.0000 0.5000
Ge: 0.0000 0.0000 0.5000

***

(2)
Tb2Cu3AgGe4 after structural relaxation. Source: the Alexandria database, functional GGA-PBE.

Output
- crystal system = tetragonal
- formation enthalpy at 0 K (meV per atom) = -430

Cell: 4.1874 4.1874 10.2551 Å, 90.00 90.00 90.00°
Positions (direct):
Tb: 0.0000 0.5000 0.2443
Tb: 0.5000 0.0000 0.7557
Cu: 0.0000 0.5000 0.8724
Cu: 0.5000 0.0000 0.1276
Cu: 0.5000 0.5000 0.5000
Ag: 0.0000 0.0000 0.5000
Ge: 0.0000 0.0000 0.0000
Ge: 0.0000 0.5000 0.6436
Ge: 0.5000 0.0000 0.3564
Ge: 0.5000 0.5000 0.0000

***

E_tot readings, ordered: -2.85, -4.72 eV/atom